LiReP2: optimized geometry, GGA-PBEsol.

For the energy of formation, the calculation gives 414 meV per atom. For the magnetic moment, the calculation gives 0.0 μB/cell. The energy above the lowest structure with this stoichiometry comes out at 0.298 eV per atom. The density of states at the Fermi level is 1.0089 states/eV/atom. For the calculated density, the calculation gives 8.46 g/cm3.

Cell lengths 4.1371, 4.1371, 4.1371 Å; angles 60.00, 60.00, 60.00 degrees
Positions (direct):
Re 0.7500 0.7500 0.7500
P 0.0000 0.0000 0.0000
Li 0.5000 0.5000 0.5000
P 0.2500 0.2500 0.2500

***

YSc3: optimized geometry, GGA-PBEsol.

For the energy of formation, the calculation gives 60 meV per atom. For the magnetic moment, the calculation gives 0.0 μB/cell. The energy above the lowest structure with this stoichiometry comes out at 0.041 eV per atom. The density of states at the Fermi level is 1.8331 states/eV/atom. For the calculated density, the calculation gives 3.70 g/cm3.

Cell lengths 3.3031, 3.3031, 9.2055 Å; angles 90.00, 90.00, 90.00 degrees
Positions (direct):
Y 0.5000 0.5000 0.0000
Sc 0.5000 0.5000 0.5000
Sc 0.0000 0.0000 0.7383
Sc 0.0000 0.0000 0.2617